## MgCoF5 (GGA+U)

Data for a geometry-optimized MgCoF5 structure.

Cell and atoms, written as POSCAR:
```
MgCoF5
1.0
-1.8703 3.1911 3.8014
1.8703 -3.1911 3.8014
1.8703 3.1911 -3.8014
Mg Co F
1 1 5
Direct
0.0000 0.0000 0.0000 Mg
0.5000 0.5000 0.0000 Co
0.1913 0.5000 0.6913 F
0.2535 0.2535 0.0000 F
0.5000 0.0000 0.5000 F
0.7465 0.7465 0.0000 F
0.8087 0.5000 0.3087 F
```

Properties
DFT total energy (eV for the cell shown): -33.9
Total moment (μB/cell): 4.00